{"formula": "MnAl2HIr", "functional": "PBE", "state": "relaxed", "lattice_angstrom": [[4.142, 0.000, 0.000], [0.000, 4.142, 0.000], [0.000, 0.000, 3.222]], "species": ["H", "Ir", "Al", "Mn", "Al"], "fractional_positions": [[0.000, 0.000, 0.000], [0.500, 0.500, 0.500], [0.000, 0.500, 0.000], [0.000, 0.000, 0.500], [0.500, 0.000, 0.000]], "space_group": "P4/mmm", "e_tot_ha_per_atom": -0.22705}


{"formula": "MoIrOs2", "functional": "PBE", "state": "relaxed", "lattice_angstrom": [[2.736, 0.000, 0.000], [0.000, 3.901, 0.000], [0.000, 0.000, 5.529]], "species": ["Os", "Os", "Ir", "Mo"], "fractional_positions": [[0.000, 0.000, 0.495], [0.000, 0.000, 0.005], [0.500, 0.500, 0.250], [0.500, 0.500, 0.750]], "e_above_lowest_polymorph_mev_per_atom": 139, "formation_energy_mev_per_atom": 39, "space_group": "Pmmm", "e_tot_ha_per_atom": -0.38582}


Values for Fermi-level density of states, states/eV/cell, ordered as above
2.415; 4.180